CaZrSi2 | PBE | relaxed Values from VASP.

Summary:
- crystal system = tetragonal

```
&SYSTEM
  ibrav = 0, nat = 8, ntyp = 3
/
ATOMIC_SPECIES
Ca 40.08 Ca.upf
Zr 91.22 Zr.upf
Si 28.09 Si.upf
CELL_PARAMETERS angstrom
-2.4307 2.4307 9.0367
2.4307 -2.4307 9.0367
2.4307 2.4307 -9.0367
ATOMIC_POSITIONS crystal
Ca 0.0000 0.0000 0.0000
Ca 0.7500 0.2500 0.5000
Zr 0.2500 0.7500 0.5000
Zr 0.5000 0.5000 0.0000
Si 0.2746 0.6250 0.1496
Si 0.3750 0.5246 0.6496
Si 0.4754 0.1250 0.8504
Si 0.8750 0.7254 0.3504
```



CaZrSi2 | PBE | relaxed Values from VASP.

Summary:
- crystal system = trigonal

```
&SYSTEM
  ibrav = 0, nat = 4, ntyp = 3
/
ATOMIC_SPECIES
Ca 40.08 Ca.upf
Zr 91.22 Zr.upf
Si 28.09 Si.upf
CELL_PARAMETERS angstrom
2.1197 1.2238 5.9589
-2.1197 1.2238 5.9589
0.0000 -2.4477 5.9589
ATOMIC_POSITIONS crystal
Ca 0.0000 0.0000 0.0000
Zr 0.5000 0.5000 0.5000
Si 0.2315 0.2315 0.2315
Si 0.7685 0.7685 0.7685
```



CaZrSi2 | PBE | relaxed Values from VASP.

Summary:
- crystal system = tetragonal

```
&SYSTEM
  ibrav = 0, nat = 4, ntyp = 3
/
ATOMIC_SPECIES
Ca 40.08 Ca.upf
Zr 91.22 Zr.upf
Si 28.09 Si.upf
CELL_PARAMETERS angstrom
3.5912 0.0000 0.0000
0.0000 3.5912 0.0000
0.0000 0.0000 6.4620
ATOMIC_POSITIONS crystal
Ca 0.0000 0.0000 0.0000
Zr 0.0000 0.0000 0.5000
Si 0.5000 0.5000 0.3091
Si 0.5000 0.5000 0.6909
```



CaZrSi2 | PBE | relaxed Values from VASP.

Summary:
- crystal system = cubic

```
&SYSTEM
  ibrav = 0, nat = 4, ntyp = 3
/
ATOMIC_SPECIES
Ca 40.08 Ca.upf
Zr 91.22 Zr.upf
Si 28.09 Si.upf
CELL_PARAMETERS angstrom
0.0000 3.4319 3.4319
3.4319 0.0000 3.4319
3.4319 3.4319 0.0000
ATOMIC_POSITIONS crystal
Ca 0.0000 0.0000 0.0000
Zr 0.5000 0.5000 0.5000
Si 0.2500 0.2500 0.2500
Si 0.7500 0.7500 0.7500
```



CaZrSi2 | PBE | relaxed Values from VASP.

Summary:
- crystal system = orthorhombic

```
&SYSTEM
  ibrav = 0, nat = 4, ntyp = 3
/
ATOMIC_SPECIES
Ca 40.08 Ca.upf
Zr 91.22 Zr.upf
Si 28.09 Si.upf
CELL_PARAMETERS angstrom
3.2357 -4.0025 0.0000
3.2357 4.0025 0.0000
0.0000 0.0000 3.0072
ATOMIC_POSITIONS crystal
Ca 0.0000 0.0000 0.0000
Zr 0.5000 0.5000 0.0000
Si 0.0000 0.5000 0.5000
Si 0.5000 0.0000 0.5000
```



CaZrSi2 | PBE | relaxed Values from VASP.

Summary:
- crystal system = tetragonal

```
&SYSTEM
  ibrav = 0, nat = 4, ntyp = 3
/
ATOMIC_SPECIES
Ca 40.08 Ca.upf
Zr 91.22 Zr.upf
Si 28.09 Si.upf
CELL_PARAMETERS angstrom
-2.2100 2.2100 3.9770
2.2100 -2.2100 3.9770
2.2100 2.2100 -3.9770
ATOMIC_POSITIONS crystal
Ca 0.0000 0.0000 0.0000
Zr 0.5000 0.5000 0.0000
Si 0.2500 0.7500 0.5000
Si 0.7500 0.2500 0.5000
```



CaZrSi2 | PBE | relaxed Values from VASP.

Summary:
- crystal system = orthorhombic

```
&SYSTEM
  ibrav = 0, nat = 4, ntyp = 3
/
ATOMIC_SPECIES
Ca 40.08 Ca.upf
Zr 91.22 Zr.upf
Si 28.09 Si.upf
CELL_PARAMETERS angstrom
-1.8319 2.0551 5.7823
1.8319 -2.0551 5.7823
1.8319 2.0551 -5.7823
ATOMIC_POSITIONS crystal
Ca 0.0000 0.0000 0.0000
Zr 0.2609 0.7609 0.5000
Si 0.6003 0.6003 0.0000
Si 0.7507 0.2507 0.5000
```



CaZrSi2 | PBE | relaxed Values from VASP.

Summary:
- crystal system = orthorhombic

```
&SYSTEM
  ibrav = 0, nat = 4, ntyp = 3
/
ATOMIC_SPECIES
Ca 40.08 Ca.upf
Zr 91.22 Zr.upf
Si 28.09 Si.upf
CELL_PARAMETERS angstrom
2.3390 -2.3429 0.0000
2.3390 2.3429 0.0000
0.0000 0.0000 7.7041
ATOMIC_POSITIONS crystal
Ca 0.0000 0.0000 0.0000
Zr 0.5000 0.5000 0.3784
Si 0.0000 0.0000 0.5938
Si 0.5000 0.5000 0.7315
```



Ca3ZrSi | PBE | relaxed Values from VASP.

Summary:
- crystal system = cubic

```
&SYSTEM
  ibrav = 0, nat = 5, ntyp = 3
/
ATOMIC_SPECIES
Ca 40.08 Ca.upf
Zr 91.22 Zr.upf
Si 28.09 Si.upf
CELL_PARAMETERS angstrom
5.6255 0.0000 0.0000
0.0000 5.6255 0.0000
0.0000 0.0000 5.6255
ATOMIC_POSITIONS crystal
Ca 0.0000 0.0000 0.5000
Ca 0.0000 0.5000 0.0000
Ca 0.5000 0.0000 0.0000
Zr 0.5000 0.5000 0.5000
Si 0.0000 0.0000 0.0000
```



Ca3ZrSi | PBE | relaxed Values from VASP.

Summary:
- crystal system = cubic

```
&SYSTEM
  ibrav = 0, nat = 5, ntyp = 3
/
ATOMIC_SPECIES
Ca 40.08 Ca.upf
Zr 91.22 Zr.upf
Si 28.09 Si.upf
CELL_PARAMETERS angstrom
5.5840 0.0000 0.0000
0.0000 5.5840 0.0000
0.0000 0.0000 5.5840
ATOMIC_POSITIONS crystal
Ca 0.0000 0.0000 0.5000
Ca 0.0000 0.5000 0.0000
Ca 0.5000 0.0000 0.0000
Zr 0.0000 0.0000 0.0000
Si 0.5000 0.5000 0.5000
```



CaZrSi2 | PBE | relaxed Values from VASP.

Summary:
- crystal system = tetragonal

```
&SYSTEM
  ibrav = 0, nat = 4, ntyp = 3
/
ATOMIC_SPECIES
Ca 40.08 Ca.upf
Zr 91.22 Zr.upf
Si 28.09 Si.upf
CELL_PARAMETERS angstrom
3.0642 0.0000 0.0000
0.0000 3.0642 0.0000
0.0000 0.0000 8.3146
ATOMIC_POSITIONS crystal
Ca 0.0000 0.0000 0.0000
Zr 0.0000 0.0000 0.5000
Si 0.5000 0.5000 0.2645
Si 0.5000 0.5000 0.7355
```



CaZrSi2 | PBE | relaxed Values from VASP.

Summary:
- crystal system = orthorhombic

```
&SYSTEM
  ibrav = 0, nat = 4, ntyp = 3
/
ATOMIC_SPECIES
Ca 40.08 Ca.upf
Zr 91.22 Zr.upf
Si 28.09 Si.upf
CELL_PARAMETERS angstrom
2.0912 -2.2915 0.0000
2.0912 2.2915 0.0000
0.0000 0.0000 8.2154
ATOMIC_POSITIONS crystal
Ca 0.0000 0.0000 0.0000
Zr 0.0000 0.0000 0.5000
Si 0.5000 0.5000 0.2662
Si 0.5000 0.5000 0.7338
```



no.,E_tot (eV per cell),N(E_F) (states/eV/cell),ρ (Mg/m³)
1,-41.8,5.87,2.92
2,-22.5,2.12,3.36
3,-23.1,4.06,3.74
4,-22.0,4.79,3.85
5,-22.6,1.40,4.00
6,-22.3,2.98,4.01
7,-22.9,2.39,3.58
8,-22.0,3.22,3.69
9,-17.8,6.27,2.23
10,-14.1,4.60,2.28
11,-23.0,1.00,3.99
12,-22.9,1.82,3.95